(1)
Entry from Alexandria: a relaxed Mn2CoAu crystal (PBE-GGA).

## Properties
**E_form**: 0.652 eV/atom
**Crystal system**: cubic
**SG**: No. 225

```
16
Lattice="5.9352 0.0000 0.0000 0.0000 5.9352 0.0000 0.0000 0.0000 5.9352" Properties=species:S:1:pos:R:3 pbc="T T T"
Mn 1.4838 1.4838 1.4838
Mn 1.4838 1.4838 4.4514
Mn 1.4838 4.4514 1.4838
Mn 1.4838 4.4514 4.4514
Mn 4.4514 1.4838 1.4838
Mn 4.4514 1.4838 4.4514
Mn 4.4514 4.4514 1.4838
Mn 4.4514 4.4514 4.4514
Co 0.0000 0.0000 0.0000
Co 0.0000 2.9676 2.9676
Co 2.9676 0.0000 2.9676
Co 2.9676 2.9676 0.0000
Au 0.0000 0.0000 2.9676
Au 0.0000 2.9676 0.0000
Au 2.9676 0.0000 0.0000
Au 2.9676 2.9676 2.9676
```

---

(2)
Entry from Alexandria: a relaxed YIn2Cl5 crystal (PBE-GGA).

## Properties
**Raw formation energy**: -12.5 eV per formula unit
**Crystal system**: orthorhombic
**SG**: No. 62

```
32
Lattice="12.7409 0.0000 0.0000 0.0000 8.4793 0.0000 0.0000 0.0000 8.6344" Properties=species:S:1:pos:R:3 pbc="T T T"
Y 0.0789 2.1198 0.6445
Y 6.2915 6.3595 4.9617
Y 6.4494 2.1198 3.6727
Y 12.6620 6.3595 7.9899
In 2.1326 0.1167 5.1820
In 2.1326 4.1229 5.1820
In 4.2379 4.3564 0.8648
In 4.2379 8.3626 0.8648
In 8.5030 0.1167 7.7696
In 8.5030 4.1229 7.7696
In 10.6083 4.3564 3.4524
In 10.6083 8.3626 3.4524
Cl 0.0404 2.1198 3.4282
Cl 0.7101 4.6706 1.4177
Cl 0.7101 8.0483 1.4177
Cl 2.5032 2.1198 8.1302
Cl 2.5356 6.3595 7.4353
Cl 3.8348 2.1198 3.1181
Cl 3.8673 6.3595 3.8130
Cl 5.6603 0.4310 5.7349
Cl 5.6603 3.8087 5.7349
Cl 6.3301 6.3595 7.7454
Cl 6.4108 2.1198 0.8890
Cl 7.0806 4.6706 2.8995
Cl 7.0806 8.0483 2.8995
Cl 8.8736 2.1198 4.8214
Cl 8.9061 6.3595 5.5164
Cl 10.2053 2.1198 1.1991
Cl 10.2377 6.3595 0.5042
Cl 12.0308 0.4310 7.2167
Cl 12.0308 3.8087 7.2167
Cl 12.7005 6.3595 5.2062
```

---

(3)
Entry from Alexandria: a relaxed Pr2DyCu2Si2 crystal (PBE-GGA).

## Properties
**Raw formation energy**: -3.4 eV per formula unit
**Crystal system**: trigonal
**SG**: No. 166

```
7
Lattice="2.0606 1.1897 11.0413 -2.0606 1.1897 11.0413 0.0000 -2.3793 11.0413" Properties=species:S:1:pos:R:3 pbc="T T T"
Pr 0.0000 0.0000 3.9149
Pr 0.0000 0.0000 29.2089
Dy 0.0000 0.0000 0.0000
Cu 0.0000 0.0000 12.9193
Cu 0.0000 0.0000 20.2044
Si 0.0000 0.0000 9.1271
Si 0.0000 0.0000 23.9966
```

---

(4)
Entry from Alexandria: a relaxed Pd12RuAu3 crystal (PBE-GGA).

## Properties
**E_form**: 0.011 eV/atom
**Crystal system**: tetragonal
**SG**: No. 123

```
16
Lattice="3.9883 0.0000 0.0000 0.0000 3.9883 0.0000 0.0000 0.0000 15.9040" Properties=species:S:1:pos:R:3 pbc="T T T"
Pd 0.0000 0.0000 0.0000
Pd 0.0000 0.0000 3.9286
Pd 0.0000 0.0000 7.9520
Pd 0.0000 0.0000 11.9754
Pd 0.0000 1.9941 1.8932
Pd 0.0000 1.9941 5.9430
Pd 0.0000 1.9941 9.9610
Pd 0.0000 1.9941 14.0108
Pd 1.9941 0.0000 1.8932
Pd 1.9941 0.0000 5.9430
Pd 1.9941 0.0000 9.9610
Pd 1.9941 0.0000 14.0108
Ru 1.9941 1.9941 0.0000
Au 1.9941 1.9941 3.9272
Au 1.9941 1.9941 7.9520
Au 1.9941 1.9941 11.9768
```

---

(5)
Entry from Alexandria: a relaxed CeGaGeRu crystal (PBE-GGA).

## Properties
**E_form**: -0.526 eV/atom
**Crystal system**: trigonal
**SG**: No. 160

```
12
Lattice="4.2543 0.0000 0.0000 -2.1272 3.6843 0.0000 0.0000 0.0000 14.9685" Properties=species:S:1:pos:R:3 pbc="T T T"
Ce 0.0000 0.0000 0.0000
Ce 0.0000 2.4562 9.9790
Ce 2.1272 1.2281 4.9895
Ga 0.0000 0.0000 11.7351
Ga 0.0000 2.4562 6.7456
Ga 2.1272 1.2281 1.7562
Ge 0.0000 0.0000 3.2578
Ge 0.0000 2.4562 13.2367
Ge 2.1272 1.2281 8.2473
Ru 0.0000 0.0000 7.5719
Ru 0.0000 2.4562 2.5824
Ru 2.1272 1.2281 12.5614
```

---

(6)
Entry from Alexandria: a relaxed SrLiCl2 crystal (PBE-GGA).

## Properties
**Raw formation energy**: -6.3 eV per formula unit
**Crystal system**: tetragonal
**SG**: No. 122

```
16
Lattice="6.3023 0.0000 0.0000 0.0000 6.3023 0.0000 0.0000 0.0000 12.3046" Properties=species:S:1:pos:R:3 pbc="T T T"
Sr 0.0000 0.0000 0.0000
Sr 0.0000 3.1511 3.0761
Sr 3.1511 0.0000 9.2284
Sr 3.1511 3.1511 6.1523
Li 0.0000 0.0000 6.1523
Li 0.0000 3.1511 9.2284
Li 3.1511 0.0000 3.0761
Li 3.1511 3.1511 0.0000
Cl 1.0843 1.5756 7.6904
Cl 1.5756 4.2354 10.7665
Cl 1.5756 5.2180 4.6142
Cl 2.0668 1.5756 1.5381
Cl 4.2354 4.7267 1.5381
Cl 4.7267 1.0843 4.6142
Cl 4.7267 2.0668 10.7665
Cl 5.2180 4.7267 7.6904
```

---

(7)
Entry from Alexandria: a relaxed BaTl2Pb2 crystal (PBE-GGA).

## Properties
**E_form**: -0.224 eV/atom
**Crystal system**: tetragonal
**SG**: No. 139

```
10
Lattice="5.0388 0.0000 0.0000 0.0000 5.0388 0.0000 0.0000 0.0000 14.2118" Properties=species:S:1:pos:R:3 pbc="T T T"
Ba 0.0000 0.0000 0.0000
Ba 2.5194 2.5194 7.1059
Tl 0.0000 0.0000 5.5646
Tl 0.0000 0.0000 8.6472
Tl 2.5194 2.5194 1.5413
Tl 2.5194 2.5194 12.6705
Pb 0.0000 2.5194 3.5530
Pb 0.0000 2.5194 10.6589
Pb 2.5194 0.0000 3.5530
Pb 2.5194 0.0000 10.6589
```

---

(8)
Entry from Alexandria: a relaxed Dy5YEr2Sc crystal (PBE-GGA).

## Properties
**E_form**: 0.173 eV/atom
**Crystal system**: orthorhombic
**SG**: No. 36

```
18
Lattice="2.7583 -9.9440 0.0000 2.7583 9.9440 0.0000 0.0000 0.0000 10.2919" Properties=species:S:1:pos:R:3 pbc="T T T"
Dy 2.7583 9.6141 5.1460
Dy 2.7583 4.4767 8.2667
Dy 2.7583 3.9785 1.9532
Dy 2.7583 2.4354 5.1985
Dy 2.7583 0.3634 2.3093
Dy 2.7583 -0.3634 7.4553
Dy 2.7583 -2.4354 0.0526
Dy 2.7583 -3.9785 7.0991
Dy 2.7583 -4.4767 3.1207
Dy 2.7583 -9.6141 0.0000
Y 2.7583 1.8271 9.6666
Y 2.7583 -1.8271 4.5206
Er 2.7583 7.7276 8.1721
Er 2.7583 7.6705 2.2696
Er 2.7583 -7.6705 7.4156
Er 2.7583 -7.7276 3.0261
Sc 2.7583 6.0585 5.1316
Sc 2.7583 -6.0585 10.2776
```

---

(9)
Entry from Alexandria: a relaxed TbPrDy2Y2 crystal (PBE-GGA).

## Properties
**E_form**: 0.267 eV/atom
**Crystal system**: orthorhombic
**SG**: No. 58

```
12
Lattice="6.5631 0.0000 0.0000 0.0000 17.9151 0.0000 0.0000 0.0000 3.4170" Properties=species:S:1:pos:R:3 pbc="T T T"
Tb 0.0000 0.0000 0.0000
Tb 3.2815 8.9576 1.7085
Pr 0.0000 8.9576 0.0000
Pr 3.2815 0.0000 1.7085
Dy 1.4341 2.6422 1.7085
Dy 1.8474 11.5997 0.0000
Dy 4.7156 6.3154 0.0000
Dy 5.1289 15.2730 1.7085
Y 1.4500 5.6135 0.0000
Y 1.8315 14.5710 1.7085
Y 4.7315 3.3441 1.7085
Y 5.1131 12.3016 0.0000
```

---

(10)
Entry from Alexandria: a relaxed CaNd2Pu crystal (PBE-GGA).

## Properties
**E_form**: 0.339 eV/atom
**Crystal system**: trigonal
**SG**: No. 166

```
12
Lattice="3.5464 0.0000 0.0000 -1.7732 3.0713 0.0000 0.0000 0.0000 38.5796" Properties=species:S:1:pos:R:3 pbc="T T T"
Ca 0.0000 0.0000 0.0000
Ca 0.0000 2.0475 25.7198
Ca 1.7732 1.0238 12.8599
Nd 0.0000 0.0000 16.0335
Nd 0.0000 0.0000 22.5461
Nd 0.0000 2.0475 3.1737
Nd 0.0000 2.0475 9.6862
Nd 1.7732 1.0238 28.8934
Nd 1.7732 1.0238 35.4060
Pu 0.0000 0.0000 19.2898
Pu 0.0000 2.0475 6.4300
Pu 1.7732 1.0238 32.1497
```

---

(11)
Entry from Alexandria: a relaxed FeAu2Se crystal (PBE-GGA).

## Properties
**Raw formation energy**: 0.5 eV per formula unit
**Crystal system**: tetragonal
**SG**: No. 99

```
4
Lattice="2.9170 0.0000 0.0000 0.0000 2.9170 0.0000 0.0000 0.0000 8.2989" Properties=species:S:1:pos:R:3 pbc="T T T"
Fe 0.0000 0.0000 0.0000
Au 0.0000 0.0000 4.2676
Au 1.4585 1.4585 6.3939
Se 1.4585 1.4585 1.4087
```

---

(12)
Entry from Alexandria: a relaxed InGaHgBr2 crystal (PBE-GGA).

## Properties
**Raw formation energy**: -1.8 eV per formula unit
**Crystal system**: tetragonal
**SG**: No. 123

```
5
Lattice="5.7215 0.0000 0.0000 0.0000 5.7215 0.0000 0.0000 0.0000 5.2371" Properties=species:S:1:pos:R:3 pbc="T T T"
In 0.0000 0.0000 0.0000
Ga 2.8608 2.8608 2.6185
Hg 2.8608 2.8608 0.0000
Br 0.0000 2.8608 2.6185
Br 2.8608 0.0000 2.6185
```

---

Number 1: energy -0.4799 Ry per atom. Number 2: energy -0.3096 Ry per atom. Number 3: energy -0.3847 Ry per atom. Number 4: energy -0.3732 Ry per atom. Number 5: energy -0.4586 Ry per atom. Number 6: energy -0.2497 Ry per atom. Number 7: energy -0.2233 Ry per atom. Number 8: energy -0.3542 Ry per atom. Number 9: energy -0.3668 Ry per atom. Number 10: energy -0.4504 Ry per atom. Number 11: energy -0.3312 Ry per atom. Number 12: energy -0.1648 Ry per atom.